No. 1
DFT (PBE-GGA) results for a relaxed Na2MgAgIr crystal.

abc: 5.3878 4.9483 5.3878
angles: 90.00 90.00 90.00
Positions (direct):
Na1 0.0000 0.0000 0.5000
Ag1 0.5000 0.5000 0.5000
Na2 0.5000 0.0000 0.0000
Ir1 0.0000 0.0000 0.0000
Mg1 0.0000 0.5000 0.0000

Output
- VASP energy (eV/atom) = -2.576

***

No. 2
DFT (PBE-GGA) results for a relaxed Nd3Y5Tm3 crystal.

abc: 3.4587 11.1975 11.1975
angles: 120.00 90.00 90.00
Positions (direct):
Tm1 0.5000 0.1576 0.1576
Y1 0.5000 0.3384 0.0000
Y2 0.5000 0.6667 0.3333
Y3 0.5000 0.3333 0.6667
Nd1 0.0000 0.4008 0.4008
Y4 0.5000 0.6616 0.6616
Tm2 0.5000 0.0000 0.8424
Y5 0.5000 0.0000 0.3384
Nd2 0.0000 0.0000 0.5992
Nd3 0.0000 0.5992 0.0000
Tm3 0.5000 0.8424 0.0000

Output
- VASP energy (eV/atom) = -5.102
- distance to the lowest polymorph of the same formula (meV per atom) = 15

***

No. 3
DFT (PBE-GGA) results for a relaxed Tl2AgMoRu crystal.

abc: 5.2879 5.1139 5.2879
angles: 90.00 90.00 90.00
Last column: magnetic moment on the atom in μB.
Positions (direct):
Ru1 0.5000 0.5000 0.5000  2.44
Mo1 0.0000 0.0000 0.0000  1.34
Ag1 0.0000 0.5000 0.0000  0.09
Tl1 0.0000 0.0000 0.5000  0.01
Tl2 0.5000 0.0000 0.0000  0.00

Output
- VASP energy (eV/atom) = -3.772